1.
A relaxed LiAlPtO2 crystal. Source: Alexandria via LeMat-Bulk, functional GGA-PBE.

a = 3.6146 Å, b = 3.6146 Å, c = 4.6136 Å
α = 90.00°, β = 90.00°, γ = 90.00°
With the nearest neighbours (Å) after each atom.
Fractional positions:
Li: 0.0000 0.0000 0.0000  4 O 1.81
Al: 0.0000 0.0000 0.5000  2 Li 2.31, 4 Pt 2.56
Pt: 0.5000 0.5000 0.5000  4 Al 2.56
O: 0.0000 0.5000 0.0000  2 Li 1.81
O: 0.5000 0.0000 0.0000  2 Li 1.81

Computed properties:
**Space group**: P4/mmm

=====

2.
A relaxed HfZr2TiO crystal. Source: Alexandria via LeMat-Bulk, functional GGA-PBE.

a = 4.5252 Å, b = 4.5252 Å, c = 4.3812 Å
α = 90.00°, β = 90.00°, γ = 90.00°
With the nearest neighbours (Å) after each atom.
Fractional positions:
Hf: 0.0000 0.0000 0.0000  2 O 2.19
Zr: 0.0000 0.5000 0.5000  2 O 2.26
Zr: 0.5000 0.0000 0.5000  2 O 2.26
Ti: 0.5000 0.5000 0.0000  8 Zr 3.15, 4 Hf 3.20
O: 0.0000 0.0000 0.5000  2 Hf 2.19, 4 Zr 2.26

Computed properties:
**Space group**: P4/mmm
**Excess energy over the best structure of this formula in the dataset**: 0.020 eV per atom

=====

Number 1: spin magnetization 0.0000 μB per atom, Fermi-level density of states 5.58 states/eV per cell, raw formation energy 0.12 eV per atom. Number 2: spin magnetization 0.0000 μB per atom, Fermi-level density of states 4.68 states/eV per cell, raw formation energy -1.05 eV per atom.